The following is a DFT calculation (GGA+U) of crystalline KMnI2F at its relaxed geometry.

Summary:
For the total energy, the calculation gives -4.221 eV per atom. The value obtained for the density of states at the Fermi level is 0.00 states/eV/cell. The mass density comes out at 4.03 g cm⁻³.

Lattice parameters (Å, degrees): 6.0201 6.0201 4.1687 90.00 90.00 90.00
Closest atoms and distances in Å follow each position.
Fractional coordinates of all 5 atoms:
I1 0.0000 0.5000 0.0000  2 Mn 3.01
I2 0.5000 0.0000 0.0000  2 Mn 3.01
K1 0.5000 0.5000 0.5000  8 I 3.66
Mn1 0.0000 0.0000 0.0000  2 F 2.08
F1 0.0000 0.0000 0.5000  2 Mn 2.08